Below is a relaxed structure of SrMnNb2Re, with properties calculated at the PBE level.

* E: -39.0 eV for the cell shown
* total moment: 0.000 Bohr magnetons per cell
* formation enthalpy at 0 K: 4.40 eV per formula unit
* crystal system: tetragonal
* SG: P4/mmm, No. 123

a = 4.721 Å, b = 4.658 Å, c = 4.721 Å
α = 90.00°, β = 90.00°, γ = 90.00°
Fractional positions:
Re1 0.000 0.500 0.000
Nb1 0.000 0.000 0.500
Nb2 0.500 0.000 0.000
Mn1 0.000 0.000 0.000
Sr1 0.500 0.500 0.500

---

Below is a relaxed structure of KSr3Re, with properties calculated at the PBE level.

* E: -8.2 eV for the cell shown
* excess energy over the best structure of this formula in the dataset: 1.396 eV per atom
* total moment: 0.000 Bohr magnetons per cell
* formation enthalpy at 0 K: 10.35 eV per formula unit
* crystal system: cubic
* SG: Pm-3m, No. 221

a = 5.781 Å, b = 5.781 Å, c = 5.781 Å
α = 90.00°, β = 90.00°, γ = 90.00°
Fractional positions:
Re1 0.500 0.500 0.500
K1 0.000 0.000 0.000
Sr1 0.000 0.500 0.000
Sr2 0.000 0.000 0.500
Sr3 0.500 0.000 0.000

---

Below is a relaxed structure of Be2AsRh, with properties calculated at the PBE level.

* E: -19.7 eV for the cell shown
* total moment: 0.000 Bohr magnetons per cell
* formation enthalpy at 0 K: -0.26 eV per formula unit
* crystal system: monoclinic
* SG: C2/m, No. 12

a = 4.075 Å, b = 4.075 Å, c = 4.537 Å
α = 84.03°, β = 84.03°, γ = 42.22°
Fractional positions:
Be1 0.018 0.018 0.949
Be2 0.482 0.482 0.551
As1 0.250 0.250 0.250
Rh1 0.750 0.750 0.750

---

Below is a relaxed structure of SnHOs2, with properties calculated at the PBE level.

* E: -56.3 eV for the cell shown
* excess energy over the best structure of this formula in the dataset: 0.070 eV per atom
* total moment: 0.000 Bohr magnetons per cell
* crystal system: triclinic
* SG: P1, No. 1

a = 4.835 Å, b = 4.966 Å, c = 5.528 Å
α = 103.00°, β = 109.10°, γ = 108.23°
Fractional positions:
Sn1 0.753 0.120 0.315
Sn2 0.990 0.620 0.044
H1 0.479 0.124 0.665
H2 0.208 0.171 0.155
Os1 0.839 0.016 0.840
Os2 0.343 0.422 0.769
Os3 0.151 0.782 0.602
Os4 0.509 0.552 0.351

---

Below is a relaxed structure of Al2AgRh, with properties calculated at the PBE level.

* E: -18.5 eV for the cell shown
* excess energy over the best structure of this formula in the dataset: 0.351 eV per atom
* total moment: 0.000 Bohr magnetons per cell
* formation enthalpy at 0 K: -0.78 eV per formula unit
* crystal system: cubic
* SG: F-43m, No. 216

a = 4.439 Å, b = 4.439 Å, c = 4.439 Å
α = 60.00°, β = 60.00°, γ = 60.00°
Fractional positions:
Rh1 0.750 0.750 0.750
Al1 0.000 0.000 0.000
Al2 0.250 0.250 0.250
Ag1 0.500 0.500 0.500

---

Below is a relaxed structure of ZrNbVP2, with properties calculated at the PBE level.

* E: -35.6 eV for the cell shown
* excess energy over the best structure of this formula in the dataset: 0.000 eV per atom
* total moment: 1.244 Bohr magnetons per cell
* formation enthalpy at 0 K: 2.91 eV per formula unit
* crystal system: tetragonal
* SG: P4/mmm, No. 123

a = 4.797 Å, b = 4.432 Å, c = 4.797 Å
α = 90.00°, β = 90.00°, γ = 90.00°
Site moments in Bohr magnetons follow the coordinates.
Fractional positions:
P1 0.000 0.000 0.500  0.02
P2 0.500 0.000 0.000  0.03
Nb1 0.000 0.000 0.000  -0.11
Zr1 0.500 0.500 0.500  0.01
V1 0.000 0.500 0.000  1.07

---

Below is a relaxed structure of PbW2Au, with properties calculated at the PBE level.

* E: -30.1 eV for the cell shown
* total moment: 0.000 Bohr magnetons per cell
* formation enthalpy at 0 K: 2.84 eV per formula unit
* crystal system: monoclinic
* SG: C2/m, No. 12

a = 5.056 Å, b = 5.056 Å, c = 5.177 Å
α = 79.37°, β = 79.37°, γ = 37.64°
Fractional positions:
Au1 0.750 0.750 0.750
Pb1 0.250 0.250 0.250
W1 0.006 0.006 0.934
W2 0.494 0.494 0.566

---

Below is a relaxed structure of RuAuCl3, with properties calculated at the PBE level.

* E: -14.6 eV for the cell shown
* formation energy without anion corrections: 3.51 eV per formula unit
* excess energy over the best structure of this formula in the dataset: 0.456 eV per atom
* total moment: 3.146 Bohr magnetons per cell
* crystal system: cubic
* SG: Pm-3m, No. 221

a = 5.051 Å, b = 5.051 Å, c = 5.051 Å
α = 90.00°, β = 90.00°, γ = 90.00°
Site moments in Bohr magnetons follow the coordinates.
Fractional positions:
Ru1 0.500 0.500 0.500  2.76
Au1 0.000 0.000 0.000  0.01
Cl1 0.000 0.500 0.000  0.03
Cl2 0.000 0.000 0.500  0.01
Cl3 0.500 0.000 0.000  0.02

---

Below is a relaxed structure of PrTcP2, with properties calculated at the PBE level.

* E: -29.4 eV for the cell shown
* excess energy over the best structure of this formula in the dataset: 0.000 eV per atom
* total moment: 0.000 Bohr magnetons per cell
* formation enthalpy at 0 K: -3.41 eV per formula unit
* crystal system: trigonal
* SG: R-3m, No. 166

a = 4.129 Å, b = 4.129 Å, c = 5.508 Å
α = 67.99°, β = 67.99°, γ = 60.00°
Fractional positions:
Pr1 0.500 0.500 0.500
P1 0.288 0.288 0.137
P2 0.712 0.712 0.863
Tc1 0.000 0.000 0.000

---

Below is a relaxed structure of Zn2TcBiS, with properties calculated at the PBE level.

* E: -14.1 eV for the cell shown
* formation energy without anion corrections: 6.86 eV per formula unit
* total moment: 4.402 Bohr magnetons per cell
* crystal system: tetragonal
* SG: P4/mmm, No. 123

a = 5.276 Å, b = 5.276 Å, c = 5.378 Å
α = 90.00°, β = 90.00°, γ = 90.00°
Site moments in Bohr magnetons follow the coordinates.
Fractional positions:
S1 0.000 0.000 0.500  0.07
Zn1 0.000 0.500 0.000  -0.03
Zn2 0.500 0.000 0.000  -0.03
Bi1 0.000 0.000 0.000  -0.05
Tc1 0.500 0.500 0.500  3.83

---

Below is a relaxed structure of LiTbSi2Pt, with properties calculated at the PBE level.

* E: -28.0 eV for the cell shown
* formation energy without anion corrections: -4.52 eV per formula unit
* total moment: 0.000 Bohr magnetons per cell
* crystal system: tetragonal
* SG: I-4m2, No. 119

a = 4.012 Å, b = 4.012 Å, c = 5.936 Å
α = 109.75°, β = 109.75°, γ = 90.00°
Fractional positions:
Li1 0.250 0.750 0.500
Tb1 0.000 0.000 0.000
Si1 0.612 0.612 0.225
Si2 0.388 0.388 0.775
Pt1 0.750 0.250 0.500

---

Below is a relaxed structure of DyGa8Ni2, with properties calculated at the PBE level.

* E: -41.0 eV for the cell shown
* total moment: 0.000 Bohr magnetons per cell
* formation enthalpy at 0 K: -0.66 eV per formula unit
* crystal system: tetragonal
* SG: P4/mmm, No. 123

a = 5.643 Å, b = 5.643 Å, c = 7.414 Å
α = 90.00°, β = 90.00°, γ = 90.00°
Fractional positions:
Dy1 0.500 0.500 0.500
Ga1 0.755 0.755 0.197
Ga2 0.755 0.245 0.803
Ga3 0.755 0.755 0.803
Ga4 0.755 0.245 0.197
Ga5 0.245 0.755 0.197
Ga6 0.245 0.755 0.803
Ga7 0.245 0.245 0.197
Ga8 0.245 0.245 0.803
Ni1 0.500 0.000 0.000
Ni2 0.000 0.500 0.000

---

Below is a relaxed structure of ZnSnIN2, with properties calculated at the PBE level.

* E: -16.3 eV for the cell shown
* formation energy without anion corrections: 7.18 eV per formula unit
* excess energy over the best structure of this formula in the dataset: 0.228 eV per atom
* total moment: 2.914 Bohr magnetons per cell
* crystal system: tetragonal
* SG: P4/mmm, No. 123

a = 4.321 Å, b = 4.321 Å, c = 5.655 Å
α = 90.00°, β = 90.00°, γ = 90.00°
Site moments in Bohr magnetons follow the coordinates.
Fractional positions:
I1 0.000 0.000 0.500  0.04
Zn1 0.000 0.000 0.000  0.02
Sn1 0.500 0.500 0.500  -0.15
N1 0.000 0.500 0.000  1.08
N2 0.500 0.000 0.000  1.08

---

Below is a relaxed structure of YLuPbAu, with properties calculated at the PBE level.

* E: -20.3 eV for the cell shown
* total moment: 0.504 Bohr magnetons per cell
* formation enthalpy at 0 K: -2.35 eV per formula unit
* crystal system: cubic
* SG: F-43m, No. 216

a = 5.219 Å, b = 5.219 Å, c = 5.219 Å
α = 60.00°, β = 60.00°, γ = 60.00°
Site moments in Bohr magnetons follow the coordinates.
Fractional positions:
Pb1 0.500 0.500 0.500  -0.01
Y1 0.750 0.750 0.750  0.14
Lu1 0.250 0.250 0.250  0.15
Au1 0.000 0.000 0.000  0.02

---

Below is a relaxed structure of CeHo2Au4, with properties calculated at the PBE level.

* E: -32.7 eV for the cell shown
* total moment: 0.755 Bohr magnetons per cell
* formation enthalpy at 0 K: -4.52 eV per formula unit
* crystal system: orthorhombic
* SG: Cmmm, No. 65

a = 5.082 Å, b = 6.088 Å, c = 6.088 Å
α = 107.71°, β = 90.00°, γ = 90.00°
Site moments in Bohr magnetons follow the coordinates.
Fractional positions:
Au1 0.000 0.711 0.711  0.00
Au2 0.000 0.289 0.289  0.00
Au3 0.500 0.000 0.500  0.00
Au4 0.500 0.500 0.000  0.00
Ho1 0.000 0.785 0.215  0.01
Ho2 0.000 0.215 0.785  0.01
Ce1 0.500 0.500 0.500  0.63

---

Below is a relaxed structure of Ti2HgBSb, with properties calculated at the PBE level.

* E: -26.1 eV for the cell shown
* formation energy without anion corrections: 0.81 eV per formula unit
* total moment: 0.000 Bohr magnetons per cell
* crystal system: tetragonal
* SG: P4/mmm, No. 123

a = 4.411 Å, b = 4.657 Å, c = 4.411 Å
α = 90.00°, β = 90.00°, γ = 90.00°
Fractional positions:
Sb1 0.000 0.500 0.000
B1 0.000 0.000 0.000
Hg1 0.500 0.500 0.500
Ti1 0.000 0.000 0.500
Ti2 0.500 0.000 0.000

---

Below is a relaxed structure of CaBe4Si, with properties calculated at the PBE level.

* E: -20.1 eV for the cell shown
* formation energy without anion corrections: 2.28 eV per formula unit
* total moment: 0.000 Bohr magnetons per cell
* crystal system: cubic
* SG: F-43m, No. 216

a = 4.748 Å, b = 4.748 Å, c = 4.748 Å
α = 60.00°, β = 60.00°, γ = 60.00°
Fractional positions:
Ca1 0.250 0.250 0.250
Be1 0.624 0.624 0.129
Be2 0.624 0.129 0.624
Be3 0.624 0.624 0.624
Be4 0.129 0.624 0.624
Si1 0.000 0.000 0.000

---

Below is a relaxed structure of Na2Tl2HgPb, with properties calculated at the PBE level.

* E: -24.0 eV for the cell shown
* total moment: 0.000 Bohr magnetons per cell
* formation enthalpy at 0 K: -0.61 eV per formula unit
* crystal system: monoclinic
* SG: P2_1/m, No. 11

a = 6.719 Å, b = 7.849 Å, c = 6.827 Å
α = 101.28°, β = 90.00°, γ = 90.00°
Fractional positions:
Na1 0.250 0.324 0.577
Na2 0.250 0.686 0.942
Na3 0.750 0.676 0.423
Na4 0.750 0.314 0.058
Tl1 0.503 0.002 0.256
Tl2 0.997 0.002 0.256
Tl3 0.003 0.998 0.744
Tl4 0.497 0.998 0.744
Hg1 0.750 0.320 0.579
Hg2 0.250 0.680 0.421
Pb1 0.250 0.300 0.080
Pb2 0.750 0.700 0.920

---

Below is a relaxed structure of NaAcAgPt, with properties calculated at the PBE level.

* E: -15.9 eV for the cell shown
* total moment: 0.000 Bohr magnetons per cell
* formation enthalpy at 0 K: -1.61 eV per formula unit
* crystal system: cubic
* SG: F-43m, No. 216

a = 5.233 Å, b = 5.233 Å, c = 5.233 Å
α = 60.00°, β = 60.00°, γ = 60.00°
Fractional positions:
Na1 0.500 0.500 0.500
Ac1 0.000 0.000 0.000
Ag1 0.250 0.250 0.250
Pt1 0.750 0.750 0.750

---

Below is a relaxed structure of Li2Mg2Te, with properties calculated at the PBE level.

* E: -22.0 eV for the cell shown
* formation energy without anion corrections: -0.86 eV per formula unit
* excess energy over the best structure of this formula in the dataset: 0.073 eV per atom
* total moment: 0.000 Bohr magnetons per cell
* crystal system: tetragonal
* SG: P4/mbm, No. 127

a = 7.540 Å, b = 7.540 Å, c = 4.330 Å
α = 90.00°, β = 90.00°, γ = 90.00°
Fractional positions:
Mg1 0.363 0.863 0.000
Mg2 0.863 0.637 0.000
Mg3 0.637 0.137 0.000
Mg4 0.137 0.363 0.000
Te1 0.000 0.000 0.000
Te2 0.500 0.500 0.000
Li1 0.154 0.654 0.500
Li2 0.654 0.846 0.500
Li3 0.846 0.346 0.500
Li4 0.346 0.154 0.500

---

Below is a relaxed structure of Sb2Br, with properties calculated at the PBE level.

* E: -18.3 eV for the cell shown
* formation energy without anion corrections: 0.78 eV per formula unit
* excess energy over the best structure of this formula in the dataset: 0.450 eV per atom
* total moment: 0.003 Bohr magnetons per cell
* crystal system: tetragonal
* SG: I4/mcm, No. 140

a = 7.002 Å, b = 7.002 Å, c = 7.002 Å
α = 98.12°, β = 98.12°, γ = 135.85°
Fractional positions:
Sb1 0.393 0.107 0.500
Sb2 0.607 0.893 0.500
Sb3 0.107 0.607 0.714
Sb4 0.893 0.393 0.286
Br1 0.250 0.250 0.000
Br2 0.750 0.750 0.000

---

Below is a relaxed structure of LaPm2DyEr, with properties calculated at the PBE level.

* E: -44.4 eV for the cell shown
* total moment: 0.000 Bohr magnetons per cell
* formation enthalpy at 0 K: 1.41 eV per formula unit
* crystal system: monoclinic
* SG: P2/c, No. 13

a = 6.467 Å, b = 8.706 Å, c = 6.329 Å
α = 100.64°, β = 90.00°, γ = 90.00°
Fractional positions:
La1 0.000 0.000 0.000
La2 0.000 0.000 0.500
Pm1 0.685 0.684 0.809
Pm2 0.685 0.316 0.691
Pm3 0.315 0.684 0.309
Pm4 0.315 0.316 0.191
Dy1 0.548 0.000 0.250
Dy2 0.452 0.000 0.750
Er1 0.166 0.500 0.750
Er2 0.834 0.500 0.250

---

Below is a relaxed structure of Tm6Ir2Pb, with properties calculated at the PBE level.

* E: -108.2 eV for the cell shown
* total moment: 0.000 Bohr magnetons per cell
* formation enthalpy at 0 K: -5.86 eV per formula unit
* crystal system: orthorhombic
* SG: Immm, No. 71

a = 8.450 Å, b = 8.450 Å, c = 8.450 Å
α = 104.45°, β = 110.80°, γ = 113.29°
Fractional positions:
Tm1 0.530 0.712 0.819
Tm2 0.470 0.288 0.181
Tm3 0.107 0.288 0.819
Tm4 0.893 0.712 0.181
Tm5 0.788 0.762 0.549
Tm6 0.212 0.238 0.451
Tm7 0.212 0.762 0.974
Tm8 0.788 0.238 0.026
Tm9 0.691 0.358 0.667
Tm10 0.309 0.642 0.333
Tm11 0.309 0.976 0.667
Tm12 0.691 0.024 0.333
Ir1 0.500 0.367 0.867
Ir2 0.500 0.633 0.133
Ir3 0.664 0.000 0.664
Ir4 0.336 0.000 0.336
Pb1 0.000 0.500 0.500
Pb2 0.000 0.000 0.000

---

Below is a relaxed structure of Hf4PdRh, with properties calculated at the PBE level.

* E: -108.9 eV for the cell shown
* total moment: 0.000 Bohr magnetons per cell
* formation enthalpy at 0 K: -2.08 eV per formula unit
* crystal system: monoclinic
* SG: C2/m, No. 12

a = 3.174 Å, b = 5.510 Å, c = 13.470 Å
α = 90.17°, β = 90.00°, γ = 90.00°
Fractional positions:
Hf1 0.499 0.170 0.341
Hf2 0.999 0.330 0.159
Hf3 0.501 0.830 0.659
Hf4 0.001 0.670 0.841
Hf5 0.999 0.664 0.342
Hf6 0.499 0.836 0.158
Hf7 0.001 0.336 0.658
Hf8 0.501 0.164 0.842
Pd1 0.000 0.000 0.500
Pd2 0.500 0.500 0.000
Rh1 0.500 0.500 0.500
Rh2 0.000 0.000 0.000

---

Below is a relaxed structure of Na3GeIr, with properties calculated at the PBE level.

* E: -11.5 eV for the cell shown
* excess energy over the best structure of this formula in the dataset: 0.201 eV per atom
* total moment: 3.460 Bohr magnetons per cell
* formation enthalpy at 0 K: 5.90 eV per formula unit
* crystal system: cubic
* SG: Pm-3m, No. 221

a = 5.444 Å, b = 5.444 Å, c = 5.444 Å
α = 90.00°, β = 90.00°, γ = 90.00°
Site moments in Bohr magnetons follow the coordinates.
Fractional positions:
Na1 0.000 0.500 0.000  0.02
Na2 0.000 0.000 0.500  0.03
Na3 0.500 0.000 0.000  0.02
Ge1 0.000 0.000 0.000  0.55
Ir1 0.500 0.500 0.500  1.87

---

Below is a relaxed structure of CuAsHSe2, with properties calculated at the PBE level.

* E: -14.3 eV for the cell shown
* excess energy over the best structure of this formula in the dataset: 0.440 eV per atom
* total moment: 1.058 Bohr magnetons per cell
* crystal system: tetragonal
* SG: P4/mmm, No. 123

a = 4.872 Å, b = 4.872 Å, c = 4.649 Å
α = 90.00°, β = 90.00°, γ = 90.00°
Site moments in Bohr magnetons follow the coordinates.
Fractional positions:
H1 0.500 0.500 0.500  0.36
As1 0.000 0.000 0.500  -0.02
Cu1 0.000 0.000 0.000  0.00
Se1 0.000 0.500 0.000  0.07
Se2 0.500 0.000 0.000  0.07